Record 1
# Y2HoCo | the Alexandria database | GGA-PBE | relaxed
data_Y2HoCo
_chemical_formula_sum 'Y8 Ho4 Co4'
_cell_length_a 6.961
_cell_length_b 9.437
_cell_length_c 6.266
_cell_angle_alpha 90.00
_cell_angle_beta 90.00
_cell_angle_gamma 90.00
_space_group_name_H-M_alt 'P n m a'
_space_group_IT_number 62
loop_
_space_group_symop_operation_xyz
'x,y,z'
'-x,-y,-z'
'-x+1/2,-y,z+1/2'
'x+1/2,y,-z+1/2'
'x+1/2,-y+1/2,-z+1/2'
'-x+1/2,y+1/2,z+1/2'
'-x,y+1/2,-z'
'x,-y+1/2,z'
loop_
_atom_site_label
_atom_site_type_symbol
_atom_site_fract_x
_atom_site_fract_y
_atom_site_fract_z
_atom_site_occupancy
Y1 Y 0.174 0.068 0.178 1
Ho1 Ho 0.045 0.250 0.644 1
Co1 Co 0.114 0.750 0.960 1
# Offset from the most stable computed form in meV per atom: 0
# Spin magnetization in μB/f.u.: 0.00
# Total DFT energy (no corrections) in eV/atom: -6.309


Record 2
# Mo3P | the Alexandria database | GGA-PBE | relaxed
data_Mo3P
_chemical_formula_sum 'Mo9 P3'
_cell_length_a 8.6503
_cell_length_b 8.6503
_cell_length_c 2.7767
_cell_angle_alpha 90.00
_cell_angle_beta 90.00
_cell_angle_gamma 120.00
_space_group_name_H-M_alt 'R -3 m'
_space_group_IT_number 166
_space_group_name_Hall '-R 3 2"'
loop_
_atom_site_label
_atom_site_type_symbol
_atom_site_fract_x
_atom_site_fract_y
_atom_site_fract_z
_atom_site_occupancy
Mo1 Mo 0.0000 0.5000 0.0000 1
P1 P 0.0000 0.0000 0.0000 1
# Offset from the most stable computed form in meV per atom: 500
# Spin magnetization in μB/f.u.: 0.00
# Total DFT energy (no corrections) in eV/atom: -9.338


Record 3
# BaAu2 | the Alexandria database | GGA-PBE | relaxed
data_BaAu2
_chemical_formula_sum 'Ba1 Au2'
_cell_length_a 4.097
_cell_length_b 4.097
_cell_length_c 5.353
_cell_angle_alpha 90.00
_cell_angle_beta 90.00
_cell_angle_gamma 90.00
_space_group_name_H-M_alt 'P 4/m m m'
_space_group_IT_number 123
_space_group_name_Hall '-P 4 2'
loop_
_atom_site_label
_atom_site_type_symbol
_atom_site_fract_x
_atom_site_fract_y
_atom_site_fract_z
_atom_site_occupancy
Ba1 Ba 0.000 0.000 0.000 1
Au1 Au 0.000 0.500 0.500 1
# Spin magnetization in μB/f.u.: 0.00
# Total DFT energy (no corrections) in eV/atom: -3.241


Record 4
# GeTePbO6 | the Alexandria database | GGA-PBE | relaxed
data_GeTePbO6
_chemical_formula_sum 'Ge2 Te2 Pb2 O12'
_cell_length_a 5.1754
_cell_length_b 5.1754
_cell_length_c 11.0510
_cell_angle_alpha 90.00
_cell_angle_beta 90.00
_cell_angle_gamma 120.00
_space_group_name_H-M_alt 'P -3 1 c'
_space_group_IT_number 163
_space_group_name_Hall '-P 3 2c'
loop_
_atom_site_label
_atom_site_type_symbol
_atom_site_fract_x
_atom_site_fract_y
_atom_site_fract_z
_atom_site_occupancy
Ge1 Ge 0.3333 0.6667 0.2500 1
Te1 Te 0.3333 0.6667 0.7500 1
Pb1 Pb 0.0000 0.0000 0.0000 1
O1 O 0.0040 0.3846 0.1510 1
# Spin magnetization in μB/f.u.: 0.00
# Formation energy (no corrections) in kJ per mole of atoms: -126.96
# Total DFT energy (no corrections) in eV/atom: -5.895


Record 5
# NaHoRh4 | the Alexandria database | GGA-PBE | relaxed
data_NaHoRh4
_chemical_formula_sum 'Na4 Ho4 Rh16'
_cell_length_a 7.471
_cell_length_b 7.471
_cell_length_c 7.471
_cell_angle_alpha 90.00
_cell_angle_beta 90.00
_cell_angle_gamma 90.00
_space_group_name_H-M_alt 'F -4 3 m'
_space_group_IT_number 216
_space_group_name_Hall 'F -4 2 3'
loop_
_atom_site_label
_atom_site_type_symbol
_atom_site_fract_x
_atom_site_fract_y
_atom_site_fract_z
_atom_site_occupancy
Na1 Na 0.000 0.000 0.000 1
Ho1 Ho 0.250 0.250 0.750 1
Rh1 Rh 0.125 0.125 0.375 1
# Spin magnetization in μB/f.u.: 0.02
# Total DFT energy (no corrections) in eV/atom: -6.226


Record 6
# Sr2TiZnO5 | the Alexandria database | GGA-PBE | relaxed
data_Sr2TiZnO5
_chemical_formula_sum 'Sr8 Ti4 Zn4 O20'
_cell_length_a 3.244
_cell_length_b 14.268
_cell_length_c 10.524
_cell_angle_alpha 90.00
_cell_angle_beta 90.00
_cell_angle_gamma 90.00
_space_group_name_H-M_alt 'C m c 21'
_space_group_IT_number 36
loop_
_space_group_symop_operation_xyz
'x,y,z'
'-x,-y,z+1/2'
'-x,y,z'
'x,-y,z+1/2'
'x+1/2,y+1/2,z'
'-x+1/2,-y+1/2,z+1/2'
'-x+1/2,y+1/2,z'
'x+1/2,-y+1/2,z+1/2'
loop_
_atom_site_label
_atom_site_type_symbol
_atom_site_fract_x
_atom_site_fract_y
_atom_site_fract_z
_atom_site_occupancy
Sr1 Sr 0.000 0.103 0.000 1
Sr2 Sr 0.000 0.131 0.615 1
Ti1 Ti 0.000 0.219 0.333 1
Zn1 Zn 0.000 0.451 0.774 1
O1 O 0.000 0.072 0.371 1
O2 O 0.000 0.278 0.957 1
O3 O 0.000 0.301 0.711 1
O4 O 0.000 0.347 0.318 1
O5 O 0.000 0.500 0.105 1
# Spin magnetization in μB/f.u.: 0.00
# Formation energy (no corrections) in kJ per mole of atoms: -247.25
# Total DFT energy (no corrections) in eV/atom: -6.710


Record 7
# CsMgPO2 | the Alexandria database | GGA-PBE | relaxed
data_CsMgPO2
_chemical_formula_sum 'Cs1 Mg1 P1 O2'
_cell_length_a 4.267
_cell_length_b 4.267
_cell_length_c 5.217
_cell_angle_alpha 90.00
_cell_angle_beta 90.00
_cell_angle_gamma 90.00
_space_group_name_H-M_alt 'P 4/m m m'
_space_group_IT_number 123
_space_group_name_Hall '-P 4 2'
loop_
_atom_site_label
_atom_site_type_symbol
_atom_site_fract_x
_atom_site_fract_y
_atom_site_fract_z
_atom_site_occupancy
Cs1 Cs 0.000 0.000 0.000 1
Mg1 Mg 0.500 0.500 0.500 1
P1 P 0.500 0.500 0.000 1
O1 O 0.000 0.500 0.500 1
# Offset from the most stable computed form in meV per atom: 0
# Spin magnetization in μB/f.u.: 1.99
# Formation energy (no corrections) in kJ per mole of atoms: -25.13
# Total DFT energy (no corrections) in eV/atom: -3.815


Record 8
# Sc2ReTc | the Alexandria database | GGA-PBE | relaxed
data_Sc2ReTc
_chemical_formula_sum 'Sc8 Re4 Tc4'
_cell_length_a 7.286
_cell_length_b 7.286
_cell_length_c 5.486
_cell_angle_alpha 90.00
_cell_angle_beta 90.00
_cell_angle_gamma 90.00
_space_group_name_H-M_alt 'I -4 2 d'
_space_group_IT_number 122
_space_group_name_Hall 'I -4 2bw'
loop_
_atom_site_label
_atom_site_type_symbol
_atom_site_fract_x
_atom_site_fract_y
_atom_site_fract_z
_atom_site_occupancy
Sc1 Sc 0.244 0.250 0.125 1
Re1 Re 0.000 0.000 0.500 1
Tc1 Tc 0.000 0.000 0.000 1
# Offset from the most stable computed form in meV per atom: 717
# Spin magnetization in μB/f.u.: 0.00
# Total DFT energy (no corrections) in eV/atom: -8.311


Record 9
# Cu2IrPt | the Alexandria database | GGA-PBE | relaxed
data_Cu2IrPt
_chemical_formula_sum 'Cu4 Ir2 Pt2'
_cell_length_a 8.806
_cell_length_b 2.692
_cell_length_c 4.717
_cell_angle_alpha 90.00
_cell_angle_beta 100.20
_cell_angle_gamma 90.00
_space_group_name_H-M_alt 'C 1 2/m 1'
_space_group_IT_number 12
loop_
_space_group_symop_operation_xyz
'x,y,z'
'-x,-y,-z'
'-x,y,-z'
'x,-y,z'
'x+1/2,y+1/2,z'
'-x+1/2,-y+1/2,-z'
'-x+1/2,y+1/2,-z'
'x+1/2,-y+1/2,z'
loop_
_atom_site_label
_atom_site_type_symbol
_atom_site_fract_x
_atom_site_fract_y
_atom_site_fract_z
_atom_site_occupancy
Cu1 Cu 0.248 0.000 0.243 1
Ir1 Ir 0.000 0.500 0.000 1
Pt1 Pt 0.000 0.000 0.500 1
# Offset from the most stable computed form in meV per atom: 14
# Spin magnetization in μB/f.u.: 0.00
# Total DFT energy (no corrections) in eV/atom: -5.801


Record 10
# Pm4Ho2Sn3O2 | the Alexandria database | GGA-PBE | relaxed
data_Pm4Ho2Sn3O2
_chemical_formula_sum 'Pm8 Ho4 Sn6 O4'
_cell_length_a 4.768
_cell_length_b 4.768
_cell_length_c 25.285
_cell_angle_alpha 90.00
_cell_angle_beta 90.00
_cell_angle_gamma 90.00
_space_group_name_H-M_alt 'I 4/m m m'
_space_group_IT_number 139
_space_group_name_Hall '-I 4 2'
loop_
_atom_site_label
_atom_site_type_symbol
_atom_site_fract_x
_atom_site_fract_y
_atom_site_fract_z
_atom_site_occupancy
Pm1 Pm 0.000 0.500 0.084 1
Ho1 Ho 0.000 0.000 0.194 1
Sn1 Sn 0.000 0.000 0.320 1
Sn2 Sn 0.000 0.000 0.500 1
O1 O 0.000 0.000 0.106 1
# Spin magnetization in μB/f.u.: 0.00
# Formation energy (no corrections) in kJ per mole of atoms: -141.93
# Total DFT energy (no corrections) in eV/atom: -6.024


Record 11
# NbSeBrN2 | the Alexandria database | GGA-PBE | relaxed
data_NbSeBrN2
_chemical_formula_sum 'Nb1 Se1 Br1 N2'
_cell_length_a 4.017
_cell_length_b 4.017
_cell_length_c 4.938
_cell_angle_alpha 90.00
_cell_angle_beta 90.00
_cell_angle_gamma 90.00
_space_group_name_H-M_alt 'P 4/m m m'
_space_group_IT_number 123
_space_group_name_Hall '-P 4 2'
loop_
_atom_site_label
_atom_site_type_symbol
_atom_site_fract_x
_atom_site_fract_y
_atom_site_fract_z
_atom_site_occupancy
Nb1 Nb 0.000 0.000 0.000 1
Se1 Se 0.500 0.500 0.000 1
Br1 Br 0.500 0.500 0.500 1
N1 N 0.000 0.500 0.500 1
# Offset from the most stable computed form in meV per atom: 1626
# Spin magnetization in μB/f.u.: 1.09
# Formation energy (no corrections) in kJ per mole of atoms: 198.95
# Total DFT energy (no corrections) in eV/atom: -4.314


Record 12
# LiNi2C | the Alexandria database | GGA-PBE | relaxed
data_LiNi2C
_chemical_formula_sum 'Li4 Ni8 C4'
_cell_length_a 4.740
_cell_length_b 4.740
_cell_length_c 10.838
_cell_angle_alpha 90.00
_cell_angle_beta 90.00
_cell_angle_gamma 90.00
_space_group_name_H-M_alt 'I 41/a m d'
_space_group_IT_number 141
loop_
_space_group_symop_operation_xyz
'x,y,z'
'-x,-y,-z'
'-y+1/4,x+3/4,z+1/4'
'y+1/4,-x+3/4,-z+1/4'
'-x+1/2,-y,z+1/2'
'x+1/2,y,-z+1/2'
'y+1/4,-x+1/4,z+3/4'
'-y+1/4,x+1/4,-z+3/4'
'x,-y,-z'
'-x,y,z'
'-y+1/4,-x+1/4,-z+3/4'
'y+1/4,x+1/4,z+3/4'
'-x+1/2,y,-z+1/2'
'x+1/2,-y,z+1/2'
'y+1/4,x+3/4,-z+1/4'
'-y+1/4,-x+3/4,z+1/4'
'x+1/2,y+1/2,z+1/2'
'-x+1/2,-y+1/2,-z+1/2'
'-y+3/4,x+1/4,z+3/4'
'y+3/4,-x+1/4,-z+3/4'
'-x,-y+1/2,z'
'x,y+1/2,-z'
'y+3/4,-x+3/4,z+1/4'
'-y+3/4,x+3/4,-z+1/4'
'x+1/2,-y+1/2,-z+1/2'
'-x+1/2,y+1/2,z+1/2'
'-y+3/4,-x+3/4,-z+1/4'
'y+3/4,x+3/4,z+1/4'
'-x,y+1/2,-z'
'x,-y+1/2,z'
'y+3/4,x+1/4,-z+3/4'
'-y+3/4,-x+1/4,z+3/4'
loop_
_atom_site_label
_atom_site_type_symbol
_atom_site_fract_x
_atom_site_fract_y
_atom_site_fract_z
_atom_site_occupancy
Li1 Li 0.000 0.250 0.375 1
Ni1 Ni 0.000 0.000 0.000 1
C1 C 0.000 0.250 0.875 1
# Spin magnetization in μB/f.u.: 0.00
# Total DFT energy (no corrections) in eV/atom: -5.260